i.
! GGA-PBE MoPd2Pt2, relaxed; values from VASP
! Total moment, μB per cell: 2.01
! Symmetry: I4/mmm
! Density, g/cm3: 13.3
&SYSTEM
  ibrav = 0, nat = 5, ntyp = 3
/
ATOMIC_SPECIES
Mo 95.94 Mo.upf
Pd 106.42 Pd.upf
Pt 195.08 Pt.upf
CELL_PARAMETERS angstrom
-1.810 1.810 6.675
1.810 -1.810 6.675
1.810 1.810 -6.675
ATOMIC_POSITIONS crystal
Mo 0.000 0.000 0.000
Pd 0.404 0.404 0.000
Pd 0.596 0.596 0.000
Pt 0.250 0.750 0.500
Pt 0.750 0.250 0.500

ii.
! GGA-PBE MoPd2Pt2, relaxed; values from VASP
! Total moment, μB per cell: 2.02
! Symmetry: I4/mmm
! Density, g/cm3: 12.6
&SYSTEM
  ibrav = 0, nat = 5, ntyp = 3
/
ATOMIC_SPECIES
Mo 95.94 Mo.upf
Pd 106.42 Pd.upf
Pt 195.08 Pt.upf
CELL_PARAMETERS angstrom
-2.473 2.473 3.770
2.473 -2.473 3.770
2.473 2.473 -3.770
ATOMIC_POSITIONS crystal
Mo 0.000 0.000 0.000
Pd 0.339 0.339 0.000
Pd 0.661 0.661 0.000
Pt 0.250 0.750 0.500
Pt 0.750 0.250 0.500

The energy of each structure relative to the most stable one, in meV per atom, is as follows: i 0; ii 285.

i.
! GGA-PBE MoPd2Pt2, relaxed; values from VASP
! Total moment, μB per cell: 0.00
! Symmetry: Fddd
! Density, g/cm3: 12.9
&SYSTEM
  ibrav = 0, nat = 10, ntyp = 3
/
ATOMIC_SPECIES
Mo 95.94 Mo.upf
Pd 106.42 Pd.upf
Pt 195.08 Pt.upf
CELL_PARAMETERS angstrom
0.000 4.499 8.924
2.247 0.000 8.924
2.247 4.499 0.000
ATOMIC_POSITIONS crystal
Mo 0.125 0.125 0.125
Mo 0.875 0.875 0.875
Pd 0.000 0.000 0.000
Pd 0.000 0.000 0.500
Pd 0.000 0.500 0.000
Pd 0.500 0.000 0.000
Pt 0.217 0.533 0.217
Pt 0.467 0.783 0.467
Pt 0.533 0.217 0.533
Pt 0.783 0.467 0.783

ii.
! GGA-PBE MoPd2Pt2, relaxed; values from VASP
! Total moment, μB per cell: 0.00
! Symmetry: P4/mbm
! Density, g/cm3: 14.4
&SYSTEM
  ibrav = 0, nat = 10, ntyp = 3
/
ATOMIC_SPECIES
Mo 95.94 Mo.upf
Pd 106.42 Pd.upf
Pt 195.08 Pt.upf
CELL_PARAMETERS angstrom
7.409 0.000 0.000
0.000 7.409 0.000
0.000 0.000 2.936
ATOMIC_POSITIONS crystal
Mo 0.000 0.000 0.000
Mo 0.500 0.500 0.000
Pd 0.130 0.370 0.000
Pd 0.370 0.870 0.000
Pd 0.630 0.130 0.000
Pd 0.870 0.630 0.000
Pt 0.170 0.670 0.500
Pt 0.330 0.170 0.500
Pt 0.670 0.830 0.500
Pt 0.830 0.330 0.500

The energy of each structure relative to the most stable one, in meV per atom, is as follows: i 51; ii 0.

i.
! GGA-PBE MoPd3Pt4, relaxed; values from VASP
! Total moment, μB per cell: 0.00
! Symmetry: Immm
! Density, g/cm3: 15.8
&SYSTEM
  ibrav = 0, nat = 8, ntyp = 3
/
ATOMIC_SPECIES
Mo 95.94 Mo.upf
Pd 106.42 Pd.upf
Pt 195.08 Pt.upf
CELL_PARAMETERS angstrom
-1.389 2.378 9.522
1.389 -2.378 9.522
1.389 2.378 -9.522
ATOMIC_POSITIONS crystal
Mo 0.000 0.000 0.000
Pd 0.250 0.250 0.000
Pd 0.500 0.500 0.000
Pd 0.750 0.750 0.000
Pt 0.122 0.622 0.500
Pt 0.375 0.875 0.500
Pt 0.625 0.125 0.500
Pt 0.878 0.378 0.500

ii.
! GGA-PBE MoPd3Pt4, relaxed; values from VASP
! Total moment, μB per cell: 0.00
! Symmetry: I4/mmm
! Density, g/cm3: 16.0
&SYSTEM
  ibrav = 0, nat = 8, ntyp = 3
/
ATOMIC_SPECIES
Mo 95.94 Mo.upf
Pd 106.42 Pd.upf
Pt 195.08 Pt.upf
CELL_PARAMETERS angstrom
-1.983 1.983 7.880
1.983 -1.983 7.880
1.983 1.983 -7.880
ATOMIC_POSITIONS crystal
Mo 0.000 0.000 0.000
Pd 0.251 0.251 0.000
Pd 0.500 0.500 0.000
Pd 0.749 0.749 0.000
Pt 0.120 0.620 0.500
Pt 0.380 0.880 0.500
Pt 0.620 0.120 0.500
Pt 0.880 0.380 0.500

The energy of each structure relative to the most stable one, in meV per atom, is as follows: i 159; ii 0.